Density functional theory data (PBE) for a relaxed Sm3Hg crystal.

abc: 5.5021 5.5021 5.5021
angles: 60.00 60.00 60.00
Positions (direct):
Sm 0.0000 0.0000 0.0000
Sm 0.2500 0.2500 0.2500
Sm 0.7500 0.7500 0.7500
Hg 0.5000 0.5000 0.5000

Computed properties:
- calculated volume (Å³ per atom) = 29.446
- energy of formation from the pure elements (eV per atom) = -0.06
- total moment (μB per atom) = 0.0004
- energy above the lowest structure with this stoichiometry (meV per atom) = 170.0


Density functional theory data (PBE) for a relaxed Tc4RuBr crystal.

abc: 5.1643 5.1643 5.1643
angles: 60.00 60.00 60.00
Positions (direct):
Tc 0.1243 0.1243 0.1243
Tc 0.1243 0.1243 0.6271
Tc 0.1243 0.6271 0.1243
Tc 0.6271 0.1243 0.1243
Ru 0.7500 0.7500 0.7500
Br 0.5000 0.5000 0.5000

Computed properties:
- formation energy (no corrections) (kJ/mol of atoms) = 94.8
- calculated volume (Å³ per atom) = 16.232
- total moment (μB per atom) = 0.0000


Density functional theory data (PBE) for a relaxed Pm12ZnCd6 crystal.

abc: 8.2107 8.2107 8.2107
angles: 88.59 88.59 88.59
Positions (direct):
Pm 0.0304 0.3056 0.9457
Pm 0.0543 0.9696 0.6944
Pm 0.1335 0.3541 0.4796
Pm 0.3056 0.9457 0.0304
Pm 0.3541 0.4796 0.1335
Pm 0.4796 0.1335 0.3541
Pm 0.5204 0.8665 0.6459
Pm 0.6459 0.5204 0.8665
Pm 0.6944 0.0543 0.9696
Pm 0.8665 0.6459 0.5204
Pm 0.9457 0.0304 0.3056
Pm 0.9696 0.6944 0.0543
Zn 0.5000 0.5000 0.5000
Cd 0.2383 0.7599 0.3910
Cd 0.2401 0.6090 0.7617
Cd 0.3910 0.2383 0.7599
Cd 0.6090 0.7617 0.2401
Cd 0.7599 0.3910 0.2383
Cd 0.7617 0.2401 0.6090

Computed properties:
- calculated volume (Å³ per atom) = 29.107
- energy of formation from the pure elements (eV per atom) = -0.12
- total moment (μB per atom) = 0.0000


Density functional theory data (PBE) for a relaxed SnBiCl5 crystal.

abc: 7.6257 7.6360 10.3109
angles: 68.78 68.86 71.13
Positions (direct):
Sn 0.0000 0.0000 0.0000
Sn 0.0054 0.9962 0.5003
Bi 0.5072 0.5116 0.7461
Bi 0.5162 0.5024 0.2464
Cl 0.1942 0.7870 0.1951
Cl 0.2386 0.8424 0.7892
Cl 0.2500 0.3171 0.8758
Cl 0.3223 0.2449 0.3790
Cl 0.4169 0.6264 0.4888
Cl 0.6280 0.4092 0.9907
Cl 0.7595 0.7882 0.0906
Cl 0.7918 0.7569 0.5933
Cl 0.7939 0.1919 0.6942
Cl 0.8482 0.2352 0.2889

Computed properties:
- formation energy (no corrections) (kJ/mol of atoms) = -92.1
- calculated volume (Å³ per atom) = 36.359
- total moment (μB per atom) = 0.0000


Density functional theory data (PBE) for a relaxed Sm2Al2BOs2 crystal.

abc: 5.9767 5.9767 7.2801
angles: 124.98 124.98 40.71
Positions (direct):
Sm 0.0679 0.0679 0.2964
Sm 0.9321 0.9321 0.7036
Al 0.3520 0.3520 0.3065
Al 0.6480 0.6480 0.6935
B 0.5000 0.5000 0.0000
Os 0.2937 0.2937 0.9125
Os 0.7063 0.7063 0.0875

Computed properties:
- calculated volume (Å³ per atom) = 19.174
- energy of formation from the pure elements (eV per atom) = -0.44
- total moment (μB per atom) = 0.0000


Density functional theory data (PBE) for a relaxed NdSm2Er3S6 crystal.

abc: 8.8569 8.8569 7.9796
angles: 104.19 104.19 25.52
Positions (direct):
Nd 0.0000 0.0000 0.0000
Sm 0.3336 0.3336 0.6673
Sm 0.6664 0.6664 0.3327
Er 0.0000 0.0000 0.5000
Er 0.3340 0.3340 0.1668
Er 0.6660 0.6660 0.8332
S 0.1637 0.1637 0.5914
S 0.1713 0.1713 0.0757
S 0.4970 0.4970 0.2618
S 0.5030 0.5030 0.7382
S 0.8287 0.8287 0.9243
S 0.8363 0.8363 0.4086

Computed properties:
- formation energy (no corrections) (kJ/mol of atoms) = -192.5
- calculated volume (Å³ per atom) = 21.750
- total moment (μB per atom) = 0.0000


Density functional theory data (PBE) for a relaxed AlTcTe2N crystal.

abc: 5.4689 5.4689 3.6915
angles: 90.00 90.00 90.00
Positions (direct):
Al 0.0000 0.0000 0.0000
Tc 0.5000 0.5000 0.5000
Te 0.0000 0.5000 0.5000
Te 0.5000 0.0000 0.5000
N 0.5000 0.5000 0.0000

Computed properties:
- formation energy (no corrections) (kJ/mol of atoms) = 26.9
- calculated volume (Å³ per atom) = 22.082
- total moment (μB per atom) = 0.0000
- energy above the lowest structure with this stoichiometry (meV per atom) = 0.0


Density functional theory data (PBE) for a relaxed ZrOs2Br crystal.

abc: 10.8756 10.8756 10.8756
angles: 160.16 160.16 28.20
Positions (direct):
Zr 0.0000 0.0000 0.0000
Zr 0.7500 0.2500 0.5000
Os 0.1555 0.6250 0.0305
Os 0.3750 0.4055 0.5305
Os 0.5945 0.1250 0.9695
Os 0.8750 0.8445 0.4695
Br 0.2500 0.7500 0.5000
Br 0.5000 0.5000 0.0000

Computed properties:
- formation energy (no corrections) (kJ/mol of atoms) = 75.7
- calculated volume (Å³ per atom) = 18.515
- total moment (μB per atom) = 0.0000
- energy above the lowest structure with this stoichiometry (meV per atom) = 665.2


Density functional theory data (PBE) for a relaxed SmTh2ReC4 crystal.

abc: 6.4097 6.4097 12.7776
angles: 90.00 90.00 147.10
Positions (direct):
Sm 0.1013 0.8987 0.7500
Sm 0.8987 0.1013 0.2500
Th 0.3675 0.6325 0.5395
Th 0.3675 0.6325 0.9605
Th 0.6325 0.3675 0.0395
Th 0.6325 0.3675 0.4605
Re 0.1663 0.8337 0.2500
Re 0.8337 0.1663 0.7500
C 0.0000 0.0000 0.0000
C 0.0000 0.0000 0.5000
C 0.2662 0.7338 0.1349
C 0.2662 0.7338 0.3651
C 0.4133 0.5867 0.7500
C 0.5867 0.4133 0.2500
C 0.7338 0.2662 0.6349
C 0.7338 0.2662 0.8651

Computed properties:
- calculated volume (Å³ per atom) = 17.821
- energy of formation from the pure elements (eV per atom) = -0.04
- total moment (μB per atom) = 0.0000


Density functional theory data (PBE) for a relaxed Sr2ZnAgIr crystal.

abc: 5.8423 5.8423 4.9529
angles: 90.00 90.00 90.00
Positions (direct):
Sr 0.0000 0.5000 0.0000
Sr 0.5000 0.0000 0.0000
Zn 0.0000 0.0000 0.5000
Ag 0.5000 0.5000 0.0000
Ir 0.5000 0.5000 0.5000

Computed properties:
- calculated volume (Å³ per atom) = 33.811
- energy of formation from the pure elements (eV per atom) = 0.49
- total moment (μB per atom) = 0.0000


Density functional theory data (PBE) for a relaxed Li2CoRu crystal.

abc: 2.6929 2.6929 7.4241
angles: 90.00 90.00 90.00
Positions (direct):
Li 0.0000 0.0000 0.0000
Li 0.5000 0.5000 0.2987
Co 0.5000 0.5000 0.7675
Ru 0.0000 0.0000 0.5596

Computed properties:
- calculated volume (Å³ per atom) = 13.460
- energy of formation from the pure elements (eV per atom) = 0.16
- total moment (μB per atom) = 0.0001
- energy above the lowest structure with this stoichiometry (meV per atom) = 33.8


Density functional theory data (PBE) for a relaxed La7Cd2Ni2 crystal.

abc: 6.8021 6.8021 7.9064
angles: 94.90 94.90 112.97
Positions (direct):
La 0.0000 0.0000 0.0000
La 0.0577 0.5144 0.7727
La 0.2383 0.2383 0.4911
La 0.4856 0.9423 0.2273
La 0.5144 0.0577 0.7727
La 0.7617 0.7617 0.5089
La 0.9423 0.4856 0.2273
Cd 0.4222 0.4222 0.1480
Cd 0.5778 0.5778 0.8520
Ni 0.2074 0.7926 0.5000
Ni 0.7926 0.2074 0.5000

Computed properties:
- calculated volume (Å³ per atom) = 30.250
- energy of formation from the pure elements (eV per atom) = -0.17
- total moment (μB per atom) = 0.0000
- energy above the lowest structure with this stoichiometry (meV per atom) = 0.0


Density functional theory data (PBE) for a relaxed NaLa2AgH crystal.

abc: 5.0616 5.0616 4.6840
angles: 90.00 90.00 90.00
Positions (direct):
Na 0.0000 0.0000 0.0000
La 0.0000 0.5000 0.5000
La 0.5000 0.0000 0.5000
Ag 0.5000 0.5000 0.0000
H 0.0000 0.0000 0.5000

Computed properties:
- calculated volume (Å³ per atom) = 24.001
- total moment (μB per atom) = 0.0000
- total DFT energy (no corrections) (eV/atom) = -3.605